Density functional theory data (PBEsol) for an optimized crystal structure of LaYBr2.

```
4
Lattice="5.128 0.000 0.000 0.000 5.128 0.000 0.000 0.000 3.636" Properties=species:S:1:pos:R:3 pbc="T T T"
La 0.000 0.000 0.000
Y 2.564 2.564 0.000
Br 0.000 2.564 1.818
Br 2.564 0.000 1.818
```

Values from the calculation:
Formation energy (no corrections) = -1.022 eV/atom
Offset from the most stable computed form = 162 meV/atom
Space-group type = P4/mmm, No. 123
V = 95.61 Å³ per cell
Total DFT energy (no corrections) = -20.00 eV per cell